An optimized crystal structure of Te4MoBr, computed with PBEsol.

Computed properties:
**VASP energy**: -4.87 eV/atom

abc: 6.784 7.792 7.852
angles: 112.54 102.88 101.60
Space group P-1 (No. 2)
Symmetry-distinct sites (fractional):
Te1 0.038 0.391 0.236 x2
Te2 0.122 0.833 0.174 x2
Te3 0.388 0.352 0.690 x2
Te4 0.460 0.260 0.066 x2
Mo1 0.218 0.500 0.999 x2
Br1 0.256 0.904 0.584 x2